[1]
## BaMg6Tl12 (PBE)

Data for a relaxed BaMg6Tl12 crystal.

The structure in extended XYZ format:
```
19
Lattice="-6.1411 -3.9481 -4.7169 6.9466 0.6052 -5.1892 2.1890 -5.6451 6.2363" Properties=species:S:1:pos:R:3 pbc="T T T"
Ba 0.0000 0.0000 0.0000
Mg -1.7165 -4.2404 -3.0344
Mg 1.7794 -4.9526 1.5623
Mg 3.7761 -2.3295 -3.2327
Mg 1.2151 -4.0354 -5.2322
Mg 4.7110 -4.7475 -0.6354
Mg -0.7815 -6.6584 -0.4372
Tl -3.5370 -6.2455 -1.6533
Tl 0.2820 -6.4500 -3.4110
Tl 2.3677 -6.8749 -0.6685
Tl -0.5644 -3.6781 -0.1406
Tl 0.6269 -2.1131 -3.0014
Tl 2.7126 -2.5380 -0.2589
Tl 4.7015 -5.1467 2.3783
Tl 3.3273 -2.0898 -6.2298
Tl 6.5316 -2.7425 -2.0166
Tl -1.7069 -3.8413 -6.0482
Tl -0.3327 -6.8982 2.5600
Tl 3.5590 -5.3099 -3.5293
```

Properties
N(E_F), states/eV per atom: 0.606
Space-group type: R-3m
Polymorph energy (0 for the lowest one), eV per atom: 0.0358
Energy, eV/atom: -2.11
Theoretical density, Mg/m³: 8.06
Calculated volume, Å³/cell: 563.8

[2]
## Ba6Mg15Tl8 (PBE)

Data for a relaxed Ba6Mg15Tl8 crystal.

The structure in extended XYZ format:
```
29
Lattice="9.3962 0.0000 5.4249 3.1321 8.8589 5.4249 0.0000 0.0000 10.8498" Properties=species:S:1:pos:R:3 pbc="T T T"
Ba 9.0380 6.3908 10.8498
Ba 3.4903 2.4680 10.8498
Ba 7.6511 2.4680 8.4476
Ba 4.8772 6.3908 13.2520
Ba 7.6511 2.4680 13.2520
Ba 4.8772 6.3908 8.4476
Mg 1.2691 2.8734 5.4249
Mg 11.2593 5.9855 16.2747
Mg 4.0636 2.8734 3.8115
Mg 4.0636 2.8734 7.0384
Mg 8.4647 5.9855 17.8882
Mg 8.4647 5.9855 14.6613
Mg 3.1321 0.2387 5.4249
Mg 9.3962 8.6202 16.2747
Mg 6.2642 4.4294 5.4249
Mg 0.0000 0.0000 5.4249
Mg 4.6981 0.0000 2.7125
Mg 1.5660 4.4294 8.1374
Mg 4.6981 0.0000 8.1374
Mg 1.5660 4.4294 2.7125
Mg 0.0000 0.0000 0.0000
Tl 6.1867 1.1347 5.4249
Tl 6.3416 7.7241 16.2748
Tl 1.6047 1.1347 8.0703
Tl 1.6047 1.1347 2.7795
Tl 10.9236 7.7241 13.6293
Tl 10.9236 7.7241 18.9202
Tl 3.1321 5.4547 5.4249
Tl 9.3962 3.4042 16.2748
```

Properties
N(E_F), states/eV per atom: 0.754
Space-group type: Fm-3m
Energy, eV/atom: -2.03
Theoretical density, Mg/m³: 5.19
Calculated volume, Å³/cell: 903.1